# 1
Material: MgAg2Ru
Method: DFT, PBE
State: relaxed

Calculated values
**DFT formation energy**: 0.248 eV/atom
**M_tot**: 0.00 Bohr magnetons per cell
**Raw total energy**: -3.8953 eV/atom

CIF file:
```
data_MgAg2Ru
_symmetry_space_group_name_H-M 'P 1 2/m 1'
_symmetry_Int_Tables_number 10
_symmetry_space_group_name_Hall '-P 2y'
_cell_length_a 2.754
_cell_length_b 4.705
_cell_length_c 5.233
_cell_angle_alpha 90.00
_cell_angle_beta 98.63
_cell_angle_gamma 90.00
loop_
_atom_site_label
_atom_site_fract_x
_atom_site_fract_y
_atom_site_fract_z
_atom_site_occupancy
Mg1 0.000 0.000 0.000 1
Ag1 0.221 0.500 0.749 1
Ru1 0.500 0.000 0.500 1
```

# 2
Material: Ac2LaReN4
Method: DFT, PBE
State: relaxed

Calculated values
**Formation energy from raw total energies**: -68.8 kJ per mole of atoms
**M_tot**: 0.00 Bohr magnetons per cell
**Raw total energy**: -8.0751 eV/atom

CIF file:
```
data_Ac2LaReN4
_symmetry_space_group_name_H-M 'C m c m'
_symmetry_Int_Tables_number 63
_symmetry_space_group_name_Hall '-C 2c 2'
_cell_length_a 3.632
_cell_length_b 12.801
_cell_length_c 12.843
_cell_angle_alpha 90.00
_cell_angle_beta 90.00
_cell_angle_gamma 90.00
loop_
_atom_site_label
_atom_site_fract_x
_atom_site_fract_y
_atom_site_fract_z
_atom_site_occupancy
Ac1 0.000 0.132 0.041 1
La1 0.000 0.376 0.250 1
Re1 0.000 0.342 0.750 1
N1 0.000 0.096 0.250 1
N2 0.000 0.223 0.645 1
N3 0.000 0.500 0.000 1
```

# 3
Material: NdY2Pd
Method: DFT, PBE
State: relaxed

Calculated values
**DFT formation energy**: -0.308 eV/atom
**M_tot**: 0.00 Bohr magnetons per cell
**Raw total energy**: -6.0306 eV/atom

CIF file:
```
data_NdY2Pd
_symmetry_space_group_name_H-M 'R 3 m'
_symmetry_Int_Tables_number 160
_symmetry_space_group_name_Hall 'R 3 -2"'
_cell_length_a 3.8936
_cell_length_b 3.8936
_cell_length_c 27.7781
_cell_angle_alpha 90.00
_cell_angle_beta 90.00
_cell_angle_gamma 120.00
loop_
_atom_site_label
_atom_site_fract_x
_atom_site_fract_y
_atom_site_fract_z
_atom_site_occupancy
Nd1 0.0000 0.0000 0.0000 1
Y1 0.0000 0.0000 0.5602 1
Y2 0.0000 0.0000 0.7694 1
Pd1 0.0000 0.0000 0.1643 1
```

# 4
Material: Pr6Ge2AuI3
Method: DFT, PBE
State: relaxed

Calculated values
**Formation energy from raw total energies**: -91.5 kJ per mole of atoms
**M_tot**: 0.00 Bohr magnetons per cell
**Raw total energy**: -4.7679 eV/atom

CIF file:
```
data_Pr6Ge2AuI3
_symmetry_space_group_name_H-M 'C 1 2/m 1'
_symmetry_Int_Tables_number 12
_symmetry_space_group_name_Hall '-C 2y'
_cell_length_a 7.673
_cell_length_b 13.298
_cell_length_c 7.985
_cell_angle_alpha 90.00
_cell_angle_beta 108.82
_cell_angle_gamma 90.00
loop_
_atom_site_label
_atom_site_fract_x
_atom_site_fract_y
_atom_site_fract_z
_atom_site_occupancy
Pr1 0.231 0.000 0.209 1
Pr2 0.237 0.331 0.207 1
Ge1 0.000 0.166 0.000 1
Au1 0.000 0.500 0.000 1
I1 0.000 0.000 0.500 1
I2 0.000 0.331 0.500 1
```

# 5
Material: Th2MgSi3Ni12
Method: DFT, PBE
State: relaxed

Calculated values
**Formation energy from raw total energies**: -20.5 kJ per mole of atoms
**M_tot**: 0.00 Bohr magnetons per cell
**Raw total energy**: -5.8839 eV/atom

CIF file:
```
data_Th2MgSi3Ni12
_symmetry_space_group_name_H-M 'R -3 m'
_symmetry_Int_Tables_number 166
_symmetry_space_group_name_Hall '-R 3 2"'
_cell_length_a 8.5223
_cell_length_b 8.5223
_cell_length_c 12.0056
_cell_angle_alpha 90.00
_cell_angle_beta 90.00
_cell_angle_gamma 120.00
loop_
_atom_site_label
_atom_site_fract_x
_atom_site_fract_y
_atom_site_fract_z
_atom_site_occupancy
Th1 0.0000 0.0000 0.1543 1
Mg1 0.0000 0.0000 0.5000 1
Si1 0.0000 0.5000 0.0000 1
Ni1 0.0053 0.5026 0.1913 1
Ni2 0.0158 0.5079 0.3898 1
```

# 6
Material: Li2GaFePd
Method: DFT, PBE
State: relaxed

Calculated values
**DFT formation energy**: 0.393 eV/atom
**M_tot**: 3.11 Bohr magnetons per cell
**Raw total energy**: -3.7089 eV/atom

CIF file:
```
data_Li2GaFePd
_symmetry_space_group_name_H-M 'P 4/m m m'
_symmetry_Int_Tables_number 123
_symmetry_space_group_name_Hall '-P 4 2'
_cell_length_a 4.502
_cell_length_b 4.502
_cell_length_c 4.829
_cell_angle_alpha 90.00
_cell_angle_beta 90.00
_cell_angle_gamma 90.00
loop_
_atom_site_label
_atom_site_fract_x
_atom_site_fract_y
_atom_site_fract_z
_atom_site_occupancy
Li1 0.000 0.500 0.000 1
Ga1 0.000 0.000 0.500 1
Fe1 0.500 0.500 0.500 1
Pd1 0.500 0.500 0.000 1
```